# PBE NaTiF2, optimized geometry
data_NaTiF2
_cell_length_a 5.904
_cell_length_b 5.904
_cell_length_c 5.904
_cell_angle_alpha 125.48
_cell_angle_beta 125.48
_cell_angle_gamma 80.74
_symmetry_space_group_name_H-M 'P 1'
_symmetry_Int_Tables_number 1
loop_
_symmetry_equiv_pos_as_xyz
'x,y,z'
loop_
_atom_site_label
_atom_site_type_symbol
_atom_site_fract_x
_atom_site_fract_y
_atom_site_fract_z
Na1 Na 0.000 0.000 0.000
Na2 Na 0.750 0.250 0.500
Ti1 Ti 0.250 0.750 0.500
Ti2 Ti 0.500 0.500 0.000
F1 F 0.139 0.625 0.014
F2 F 0.375 0.389 0.514
F3 F 0.611 0.125 0.986
F4 F 0.875 0.861 0.486
# magnetization = 2.786 μB per formula unit
# SG = I-42d, No. 122
# volume = 131.5 Å³ per cell
# calculated density = 2.7 g/cm³
# energy relative to the elements, uncorrected = -1850 meV/atom
# offset from the most stable computed form = 39.9 kJ per mole of atoms

# PBE NaTiF2, optimized geometry
data_NaTiF2
_cell_length_a 7.924
_cell_length_b 7.924
_cell_length_c 7.924
_cell_angle_alpha 21.14
_cell_angle_beta 21.14
_cell_angle_gamma 21.14
_symmetry_space_group_name_H-M 'P 1'
_symmetry_Int_Tables_number 1
loop_
_symmetry_equiv_pos_as_xyz
'x,y,z'
loop_
_atom_site_label
_atom_site_type_symbol
_atom_site_fract_x
_atom_site_fract_y
_atom_site_fract_z
Na1 Na 0.000 0.000 0.000
Ti1 Ti 0.500 0.500 0.500
F1 F 0.105 0.105 0.105
F2 F 0.895 0.895 0.895
# magnetization = 0.000 μB per formula unit
# SG = R-3m, No. 166
# volume = 56.7 Å³ per cell
# calculated density = 3.2 g/cm³
# energy relative to the elements, uncorrected = -1927 meV/atom
# offset from the most stable computed form = 32.4 kJ per mole of atoms

# PBE NaTi2F6, optimized geometry
data_NaTi2F6
_cell_length_a 5.104
_cell_length_b 5.104
_cell_length_c 5.424
_cell_angle_alpha 90.00
_cell_angle_beta 90.00
_cell_angle_gamma 120.00
_symmetry_space_group_name_H-M 'P 1'
_symmetry_Int_Tables_number 1
loop_
_symmetry_equiv_pos_as_xyz
'x,y,z'
loop_
_atom_site_label
_atom_site_type_symbol
_atom_site_fract_x
_atom_site_fract_y
_atom_site_fract_z
Na1 Na 0.000 0.000 0.000
Ti1 Ti 0.333 0.667 0.500
Ti2 Ti 0.667 0.333 0.500
F1 F 0.000 0.342 0.719
F2 F 0.000 0.658 0.281
F3 F 0.342 0.000 0.719
F4 F 0.342 0.342 0.281
F5 F 0.658 0.000 0.281
F6 F 0.658 0.658 0.719
# magnetization = 3.000 μB per formula unit
# SG = P-31m, No. 162
# volume = 122.4 Å³ per cell
# calculated density = 3.2 g/cm³
# energy relative to the elements, uncorrected = -3064 meV/atom

# PBE NaTiF3, optimized geometry
data_NaTiF3
_cell_length_a 6.236
_cell_length_b 6.236
_cell_length_c 6.236
_cell_angle_alpha 127.81
_cell_angle_beta 110.78
_cell_angle_gamma 91.84
_symmetry_space_group_name_H-M 'P 1'
_symmetry_Int_Tables_number 1
loop_
_symmetry_equiv_pos_as_xyz
'x,y,z'
loop_
_atom_site_label
_atom_site_type_symbol
_atom_site_fract_x
_atom_site_fract_y
_atom_site_fract_z
Na1 Na 0.203 0.000 0.203
Na2 Na 0.797 0.000 0.797
Ti1 Ti 0.355 0.355 0.000
Ti2 Ti 0.645 0.645 0.000
F1 F 0.188 0.418 0.230
F2 F 0.188 0.959 0.770
F3 F 0.283 0.500 0.783
F4 F 0.717 0.500 0.217
F5 F 0.812 0.041 0.230
F6 F 0.812 0.582 0.770
# magnetization = 0.000 μB per formula unit
# SG = Immm, No. 71
# volume = 168.5 Å³ per cell
# calculated density = 2.5 g/cm³
# energy relative to the elements, uncorrected = -2379 meV/atom

Which of these has the lowest volume? number 2

The lowest calculated density belongs to which entry? NaTiF3